TiZnCo PBE optimized geometry; energy = -5.603 eV/atom; energy relative to the elements = -0.178 eV/atom; calculated volume = 40.1 Å³ per cell; DOS(E_F) = 2.52 states/eV/f.u.
1.0
2.667 0.000 0.000
0.000 4.166 0.000
0.000 -2.083 3.608
Zn Co Ti
1 1 1
Cartesian
1.032 2.083 1.203
1.767 0.000 2.405
2.535 0.000 0.000